{
  "formula": "InPIr3",
  "functional": "PBE-GGA",
  "state": "optimized geometry",
  "lattice": [[-1.724, -2.170, -3.479], [-0.841, -3.506, 2.604], [-4.013, 1.668, 0.949]],
  "species": ["Ir", "Ir", "In", "P", "Ir"],
  "fractional_positions": [[0.000, 0.000, 0.500], [0.500, 0.000, 0.000], [0.500, 0.500, 0.500], [0.000, 0.000, 0.000], [0.000, 0.500, 0.000]],
  "total_energy_ev_per_cell": -32.87,
  "polymorph_energy_ev_per_atom": 0.000,
  "formation_energy_ev_per_fu": 1.86,
  "sg": "Pm-3m"
}

{
  "formula": "TaHgSe2N",
  "functional": "PBE-GGA",
  "state": "optimized geometry",
  "lattice": [[-3.575, -3.117, 2.199], [2.321, -3.098, -0.616], [2.228, 0.740, 4.671]],
  "species": ["Se", "Se", "Hg", "Ta", "N"],
  "fractional_positions": [[0.500, 0.000, 0.000], [0.000, 0.000, 0.500], [0.500, 0.500, 0.500], [0.000, 0.000, 0.000], [0.000, 0.500, 0.000]],
  "e_form_raw_ev_per_atom": -0.024,
  "total_energy_ev_per_cell": -27.57,
  "polymorph_energy_ev_per_atom": 0.000,
  "sg": "P4/mmm"
}

{
  "formula": "TiTlAu",
  "functional": "PBE-GGA",
  "state": "optimized geometry",
  "lattice": [[6.074, 0.000, 0.000], [0.000, 4.302, 0.000], [0.000, 0.000, 9.289]],
  "species": ["Tl", "Ti", "Tl", "Au", "Tl", "Au", "Ti", "Au", "Tl", "Ti", "Au", "Ti"],
  "fractional_positions": [[0.630, 0.750, 0.910], [0.383, 0.250, 0.424], [0.870, 0.250, 0.410], [0.925, 0.250, 0.775], [0.370, 0.250, 0.090], [0.075, 0.750, 0.225], [0.883, 0.250, 0.076], [0.575, 0.750, 0.275], [0.130, 0.750, 0.590], [0.117, 0.750, 0.924], [0.425, 0.250, 0.725], [0.617, 0.750, 0.576]],
  "total_energy_ev_per_cell": -54.07,
  "formation_energy_ev_per_fu": 0.02,
  "sg": "Pnma"
}

{
  "formula": "Dy2ErAu",
  "functional": "PBE-GGA",
  "state": "optimized geometry",
  "lattice": [[-0.037, 2.585, 2.663], [-0.480, -0.993, 3.544], [9.515, -0.410, 3.116]],
  "species": ["Dy", "Au", "Dy", "Er"],
  "fractional_positions": [[0.070, 0.070, 0.789], [0.666, 0.666, 0.002], [0.263, 0.263, 0.211], [0.500, 0.500, 0.499]],
  "total_energy_ev_per_cell": -18.17,
  "polymorph_energy_ev_per_atom": 0.170,
  "formation_energy_ev_per_fu": -1.12,
  "sg": "R3m"
}